[1]
K3Cd2CuF9: relaxed, PBE.

Summary:
Symmetry: P-3m1 (164)
DOS(E_F): 4.01 states/eV per cell
ΔE_f (raw): -2.31 eV/atom

Lattice parameters (Å, degrees): 6.118 6.118 7.528 90.00 90.00 120.00
Atoms (fractional coordinates):
1 F 0.841 0.683 0.654
2 F 0.683 0.841 0.346
3 F 0.159 0.317 0.346
4 F 0.500 0.500 0.000
5 F 0.841 0.159 0.654
6 F 0.159 0.841 0.346
7 F 0.317 0.159 0.654
8 F 0.500 0.000 0.000
9 F 0.000 0.500 0.000
10 K 0.000 0.000 0.000
11 K 0.667 0.333 0.336
12 K 0.333 0.667 0.664
13 Cd 0.333 0.667 0.179
14 Cd 0.667 0.333 0.821
15 Cu 0.000 0.000 0.500

[2]
CaSmCdRh: relaxed, PBE.

Summary:
Offset from the most stable computed form: 0 meV per atom
Symmetry: P4mm (99)
DOS(E_F): 3.32 states/eV per cell

Lattice parameters (Å, degrees): 3.627 3.627 7.462 90.00 90.00 90.00
Atoms (fractional coordinates):
1 Cd 0.000 0.000 0.078
2 Sm 0.500 0.500 0.358
3 Rh 0.000 0.000 0.548
4 Ca 0.500 0.500 0.800

[3]
Nd2Tl3ZnTe6: relaxed, PBE.

Summary:
Symmetry: C2/m (12)
DOS(E_F): 7.45 states/eV per cell
ΔE_f (raw): -0.72 eV/atom

Lattice parameters (Å, degrees): 7.790 7.790 8.366 99.46 99.46 120.14
Atoms (fractional coordinates):
1 Te 0.068 0.376 0.208
2 Te 0.246 0.246 0.768
3 Te 0.932 0.624 0.792
4 Te 0.754 0.754 0.232
5 Te 0.624 0.932 0.792
6 Te 0.376 0.068 0.208
7 Tl 0.179 0.821 0.500
8 Tl 0.500 0.500 0.500
9 Tl 0.821 0.179 0.500
10 Nd 0.338 0.662 0.000
11 Nd 0.662 0.338 0.000
12 Zn 0.000 0.000 0.000

[4]
CeSmIr2: relaxed, PBE.

Summary:
Offset from the most stable computed form: 99 meV per atom
Symmetry: Fm-3m (225)
DOS(E_F): 4.42 states/eV per cell

Lattice parameters (Å, degrees): 4.955 4.955 4.955 60.00 60.00 60.00
Atoms (fractional coordinates):
1 Sm 0.500 0.500 0.500
2 Ce 0.000 0.000 0.000
3 Ir 0.250 0.250 0.250
4 Ir 0.750 0.750 0.750

[5]
Al12Zn5Ag2: relaxed, PBE.

Summary:
Symmetry: C2/m (12)
DOS(E_F): 5.05 states/eV per cell
E: -2.90 eV per atom

Lattice parameters (Å, degrees): 8.059 7.430 6.637 90.45 90.00 122.84
Atoms (fractional coordinates):
1 Ag 0.709 0.000 0.000
2 Ag 0.291 0.000 0.000
3 Al 0.513 0.593 0.810
4 Al 0.078 0.156 0.149
5 Al 0.921 0.407 0.190
6 Al 0.922 0.844 0.851
7 Al 0.364 0.208 0.611
8 Al 0.451 0.901 0.683
9 Al 0.487 0.407 0.190
10 Al 0.157 0.792 0.389
11 Al 0.636 0.792 0.389
12 Al 0.079 0.593 0.810
13 Al 0.549 0.099 0.317
14 Al 0.843 0.208 0.611
15 Zn 0.231 0.462 0.511
16 Zn 0.000 0.000 0.500
17 Zn 0.688 0.375 0.874
18 Zn 0.312 0.625 0.126
19 Zn 0.769 0.538 0.489

[6]
Dy2Tm3ThS6: relaxed, PBE.

Summary:
Symmetry: C2/m (12)
DOS(E_F): 5.83 states/eV per cell
ΔE_f (raw): -1.92 eV/atom

Lattice parameters (Å, degrees): 3.886 7.836 8.737 103.50 102.85 90.00
Atoms (fractional coordinates):
1 S 0.667 0.587 0.334
2 S 0.673 0.082 0.346
3 S 0.327 0.918 0.654
4 S 0.999 0.264 0.998
5 S 0.001 0.736 0.002
6 S 0.333 0.413 0.666
7 Dy 0.164 0.329 0.328
8 Dy 0.836 0.671 0.672
9 Tm 0.836 0.166 0.672
10 Tm 0.500 0.500 0.000
11 Tm 0.164 0.834 0.328
12 Th 0.500 0.000 0.000